# 1
Entry from Alexandria via LeMat-Bulk: crystalline K2Li2NiO4 at its relaxed geometry (GGA+U).

## Properties
V   14.5 A^3/atom
Relative energy among the computed polymorphs   12.5 meV/atom
Calculated density   2.724 Mg/m³
Spin magnetization   4.1 μB/f.u.
Electronic total energy   -4.375 eV per atom

POSCAR file:
```
K2Li2NiO4
1.0
5.5016 0.0000 0.0000
0.0000 9.2687 0.0000
-4.1650 0.0000 10.2696
K Li Ni O
8 8 4 16
Direct
0.1724 0.0002 0.3646
0.1724 0.4998 0.8646
0.3220 0.2213 0.1561
0.3220 0.2787 0.6561
0.6780 0.7213 0.3439
0.6780 0.7787 0.8439
0.8276 0.9998 0.6354
0.8276 0.5002 0.1354
0.0964 0.7450 0.6839
0.0964 0.7550 0.1839
0.1463 0.0122 0.9328
0.1463 0.4878 0.4328
0.8537 0.5122 0.5672
0.8537 0.9878 0.0672
0.9036 0.2450 0.8161
0.9036 0.2550 0.3161
0.3682 0.7135 0.5447
0.3682 0.7865 0.0447
0.6318 0.2135 0.9553
0.6318 0.2865 0.4553
0.1982 0.6883 0.3672
0.1982 0.8117 0.8672
0.2267 0.5726 0.6169
0.2267 0.9274 0.1169
0.2632 0.6215 0.0945
0.2632 0.8785 0.5945
0.2792 0.2008 0.9009
0.2792 0.2992 0.4009
0.7208 0.7008 0.5991
0.7208 0.7992 0.0991
0.7368 0.1215 0.4055
0.7368 0.3785 0.9055
0.7733 0.0726 0.8831
0.7733 0.4274 0.3831
0.8018 0.1883 0.1328
0.8018 0.3117 0.6328
```

# 2
Entry from Alexandria via LeMat-Bulk: crystalline K2Li2NiO4 at its relaxed geometry (GGA+U).

## Properties
V   14.3 A^3/atom
Relative energy among the computed polymorphs   0.0 meV/atom
Calculated density   2.773 Mg/m³
Spin magnetization   0.3 μB/f.u.
Electronic total energy   -4.388 eV per atom

POSCAR file:
```
K2Li2NiO4
1.0
5.5847 0.0000 0.0000
-0.1603 9.0179 0.0000
-1.4102 -0.3853 10.2144
K Li Ni O
8 8 4 16
Direct
0.0000 0.0000 0.0000
0.0153 0.8756 0.5631
0.3185 0.5354 0.7508
0.3460 0.8449 0.2688
0.4984 0.1334 0.5261
0.5483 0.3186 0.0026
0.8346 0.6403 0.2496
0.9256 0.2648 0.7393
0.0893 0.3483 0.1683
0.3050 0.5669 0.0811
0.4064 0.7944 0.9598
0.5016 0.3280 0.3016
0.5901 0.0873 0.1812
0.6229 0.7808 0.7067
0.7908 0.5698 0.5781
0.9117 0.3683 0.4272
0.0017 0.1265 0.3159
0.3691 0.5522 0.4383
0.4829 0.0173 0.8208
0.8860 0.5994 0.9404
0.0074 0.1704 0.4869
0.0591 0.4299 0.9810
0.0771 0.5604 0.4884
0.0973 0.7249 0.0385
0.2854 0.1545 0.2433
0.3166 0.5101 0.2615
0.3304 0.8433 0.7765
0.3961 0.1971 0.7738
0.5090 0.0114 0.0002
0.5351 0.7132 0.5136
0.5946 0.4144 0.4808
0.5976 0.6204 0.0020
0.7519 0.9849 0.7450
0.8054 0.2793 0.2388
0.8121 0.5923 0.7654
0.8428 0.9509 0.2797
```

# 3
Entry from Alexandria via LeMat-Bulk: crystalline KLiNiO2 at its relaxed geometry (GGA+U).

## Properties
V   14.6 A^3/atom
Calculated density   3.113 Mg/m³
Spin magnetization   2.0 μB/f.u.
Electronic total energy   -4.215 eV per atom

POSCAR file:
```
KLiNiO2
1.0
2.5836 -6.0418 0.0000
2.5836 6.0418 0.0000
0.0000 0.0000 4.6731
K Li Ni O
2 2 2 4
Direct
0.2500 0.7500 0.7546
0.7500 0.2500 0.2454
0.0000 0.0000 0.5000
0.5000 0.5000 0.5000
0.2500 0.2500 0.0000
0.7500 0.7500 0.0000
0.1001 0.8999 0.2024
0.3999 0.6001 0.2024
0.6001 0.3999 0.7976
0.8999 0.1001 0.7976
```